[1]
A plane-wave DFT calculation with PBE was carried out for Ce2Dy2Si4Ir after structural relaxation.

Cell and atoms, written as POSCAR:
```
Ce2Dy2Si4Ir
1.0
-3.576 -4.638 2.652
6.154 -0.154 1.856
-1.783 5.918 1.772
Ce Dy Si Ir
2 2 4 1
Direct
0.000 0.669 0.669
0.000 0.331 0.331
0.500 0.750 0.250
0.500 0.250 0.750
0.000 0.759 0.241
0.518 0.759 0.759
0.000 0.241 0.759
0.482 0.241 0.241
0.000 0.000 0.000
```

Results
- calculated total energy (eV/atom) = -6.1338
- E_form (uncorrected) (eV/atom) = -0.398

[2]
A plane-wave DFT calculation with PBE was carried out for CeDyTeIr after structural relaxation.

Cell and atoms, written as POSCAR:
```
CeDyTeIr
1.0
-2.316 3.275 -0.986
-1.627 -3.091 2.205
4.181 2.217 6.191
Ce Dy Te Ir
1 1 1 1
Direct
0.104 0.950 0.069
0.498 0.147 0.660
0.972 0.384 0.371
0.304 0.550 0.870
```

Results
- calculated total energy (eV/atom) = -6.6781
- E_form (uncorrected) (eV/atom) = -1.043

[3]
A plane-wave DFT calculation with PBE was carried out for K3Ce3DyO8 after structural relaxation.

Cell and atoms, written as POSCAR:
```
K3Ce3DyO8
1.0
-2.688 -5.767 -3.305
6.257 -0.450 3.471
-6.329 0.610 4.087
K Ce Dy O
3 3 1 8
Direct
0.000 0.000 0.000
0.000 0.500 0.000
0.500 0.500 0.000
0.500 0.000 0.500
0.500 0.500 0.500
0.000 0.500 0.500
0.000 0.000 0.500
0.271 0.541 0.312
0.729 0.459 0.688
0.779 0.558 0.326
0.221 0.442 0.674
0.779 0.047 0.326
0.221 0.953 0.674
0.268 0.047 0.326
0.732 0.953 0.674
```

Results
- calculated total energy (eV/atom) = -7.1800
- E_form (uncorrected) (eV/atom) = -2.823